## MgCuBi (PBE-GGA)

Data for a geometry-optimized MgCuBi structure.

The space group is P3m1 (No. 156) and the conventional cell measures 4.4809, 4.4809 and 3.9046 Å, with angles of 90.00, 90.00 and 120.00 degrees. Symmetry generates all atoms from Mg at (0.0000, 0.0000, 0.0000), Cu at (0.3333, 0.6667, 0.2572) and Bi at (0.6667, 0.3333, 0.4935).

As for the formation energy: 66 meV/atom. As for the spin magnetization: 0.00 μB per cell.